[1]
DFT (PBE) results for Ca2WSe after structural relaxation.

extended XYZ file:
```
4
Lattice="4.295 0.000 0.000 0.000 4.267 0.001 0.000 2.130 5.563" Properties=species:S:1:pos:R:3 pbc="T T T"
Se 0.000 3.998 2.861
Ca 2.148 1.866 1.807
Ca 0.000 6.131 5.139
W 2.148 3.998 4.102
```

- spin magnetization (μB per cell) = 0.00
- space-group type = No. 38
- formation energy without anion corrections (eV per atom) = 0.0797
- crystal system = orthorhombic
- D(E_F) (states/eV/f.u.) = 2.77

[2]
DFT (PBE) results for Rb2LiYI6 after structural relaxation.

extended XYZ file:
```
10
Lattice="-5.731 -6.200 -0.936 -1.612 -3.165 -7.717 2.534 -7.863 -1.981" Properties=species:S:1:pos:R:3 pbc="T T T"
I -0.752 -9.813 -7.494
I -2.799 -11.322 -4.124
I -2.011 -5.906 -6.510
I -4.859 -8.987 -6.975
I -4.058 -7.414 -3.140
I 0.050 -8.241 -3.659
Li -2.405 -8.614 -5.317
Rb -1.202 -4.307 -2.658
Rb -3.607 -12.921 -7.975
Y 0.000 0.000 0.000
```

- spin magnetization (μB per cell) = 0.00
- space-group type = No. 225
- formation energy without anion corrections (eV per atom) = -1.3834
- crystal system = cubic
- D(E_F) (states/eV/f.u.) = 0.00

[3]
DFT (PBE) results for HfVTc2 after structural relaxation.

extended XYZ file:
```
8
Lattice="3.795 0.000 0.000 0.000 3.795 0.000 1.898 1.898 9.708" Properties=species:S:1:pos:R:3 pbc="T T T"
Hf 3.795 1.898 4.854
Hf 0.000 0.000 0.000
Tc 4.744 4.526 7.281
Tc 2.847 3.065 7.281
Tc 2.628 0.949 2.427
Tc 1.167 2.847 2.427
V 1.898 3.795 4.854
V 1.898 1.898 0.000
```

- spin magnetization (μB per cell) = 0.09
- energy of formation from the pure elements (eV per atom) = 0.60
- space-group type = No. 122
- crystal system = tetragonal
- D(E_F) (states/eV/f.u.) = 4.11